A.
VASP calculation (PBE) on a relaxed LaHoIn4 crystal.

a = 6.3773 Å, b = 6.3773 Å, c = 6.3773 Å
α = 136.09°, β = 108.28°, γ = 88.04°
With the nearest neighbours (Å) after each atom.
Fractional positions:
La (0.0000, 0.0000, 0.0000)  10 In 3.41-3.44
Ho (0.6129, 0.1129, 0.5000)  10 In 3.33-3.48
In (0.1896, 0.3910, 0.7986)  4 In 2.91-3.01
In (0.4208, 0.7092, 0.7117)  4 In 2.91-3.16
In (0.5924, 0.3910, 0.2014)  4 In 2.91-3.01
In (0.9975, 0.7092, 0.2883)  4 In 2.91-3.16

Output
- Theoretical density: 7.76 g cm⁻³
- SG: Imm2 (44)

B.
VASP calculation (PBE) on a relaxed LaHoIn4 crystal.

a = 6.0797 Å, b = 6.0797 Å, c = 6.0797 Å
α = 60.00°, β = 60.00°, γ = 60.00°
With the nearest neighbours (Å) after each atom.
Fractional positions:
La (0.0000, 0.0000, 0.0000)  12 In 3.56, 4 Ho 3.72
Ho (0.2500, 0.2500, 0.2500)  12 In 3.56, 4 La 3.72
In (0.1252, 0.6249, 0.6249)  6 In 3.04
In (0.6249, 0.1252, 0.6249)  6 In 3.04
In (0.6249, 0.6249, 0.1252)  6 In 3.04
In (0.6249, 0.6249, 0.6249)  6 In 3.04

Output
- Theoretical density: 7.97 g cm⁻³
- SG: F-43m (216)

In terms of stability, A leads; the second structure lies 58 meV per atom higher.

A.
VASP calculation (PBE) on a relaxed La6HoIn crystal.

a = 7.3260 Å, b = 7.3260 Å, c = 6.9210 Å
α = 104.20°, β = 104.20°, γ = 119.88°
With the nearest neighbours (Å) after each atom.
Fractional positions:
La (0.0133, 0.0133, 0.2574)  1 In 3.11, 1 Ho 3.29, 4 La 3.46-3.47
La (0.2474, 0.7030, 0.2559)  3 La 3.22-3.51, 1 In 3.31, 1 Ho 3.44
La (0.2970, 0.7526, 0.7441)  3 La 3.22-3.51, 1 In 3.31, 1 Ho 3.44
La (0.7030, 0.2474, 0.2559)  3 La 3.22-3.51, 1 In 3.31, 1 Ho 3.44
La (0.7526, 0.2970, 0.7441)  3 La 3.22-3.51, 1 In 3.31, 1 Ho 3.44
La (0.9867, 0.9867, 0.7426)  1 In 3.11, 1 Ho 3.29, 4 La 3.46-3.47
Ho (0.5000, 0.5000, 0.0000)  6 La 3.29-3.44, 2 In 3.46
In (0.5000, 0.5000, 0.5000)  6 La 3.11-3.31, 2 Ho 3.46

Output
- Theoretical density: 6.58 g cm⁻³
- SG: C2/m (12)

B.
VASP calculation (PBE) on a relaxed La6HoIn crystal.

a = 5.1202 Å, b = 5.1202 Å, c = 10.3663 Å
α = 90.00°, β = 90.00°, γ = 90.00°
With the nearest neighbours (Å) after each atom.
Fractional positions:
La (0.0000, 0.0000, 0.0000)  8 La 3.61, 4 In 3.62
La (0.0000, 0.0000, 0.5000)  4 Ho 3.62, 8 La 3.68
La (0.0000, 0.5000, 0.2451)  8 La 3.61-3.68, 2 In 3.61, 2 Ho 3.68
La (0.0000, 0.5000, 0.7549)  8 La 3.61-3.68, 2 In 3.61, 2 Ho 3.68
La (0.5000, 0.0000, 0.2451)  8 La 3.61-3.68, 2 In 3.61, 2 Ho 3.68
La (0.5000, 0.0000, 0.7549)  8 La 3.61-3.68, 2 In 3.61, 2 Ho 3.68
Ho (0.5000, 0.5000, 0.5000)  12 La 3.62-3.68
In (0.5000, 0.5000, 0.0000)  12 La 3.61-3.62

Output
- Theoretical density: 6.80 g cm⁻³
- SG: P4/mmm (123)

In terms of stability, B leads; the second structure lies 267 meV per atom higher.